Entry 1:
This record from Alexandria via LeMat-Bulk describes KMo2W after structural relaxation. The functional is GGA-PBE.

The structure belongs to space group Pmmm (No. 47); the cell edges are 3.244, 3.716 and 8.134 Å and the angles 90.00°, 90.00° and 90.00°. The inequivalent atoms are K at (0.000, 0.000, 0.000), Mo at (0.500, 0.500, 0.359) and W at (0.000, 0.000, 0.500).

For the excess energy over the best structure of this formula in the dataset, the calculation gives 154 meV per atom. As for the calculated density: 7.024 g cm⁻³. Its total magnetization is 0.00 μB/atom. For the calculated volume, the calculation gives 24.5 Å³/atom.



Entry 2:
This record from Alexandria via LeMat-Bulk describes ReHOsI2 after structural relaxation. The functional is GGA-PBE.

The structure belongs to space group P4/mmm (No. 123); the cell edges are 5.248, 5.248 and 3.364 Å and the angles 90.00°, 90.00° and 90.00°. The inequivalent atoms are Re at (0.000, 0.000, 0.000), H at (0.500, 0.500, 0.000), Os at (0.500, 0.500, 0.500) and I at (0.000, 0.500, 0.500).

As for the calculated density: 11.312 g cm⁻³. As for the total energy: -4.53 eV per atom. Its total magnetization is 0.37 μB/atom. For the calculated volume, the calculation gives 18.5 Å³/atom.